VASP calculation (GGA-PBE) on a geometry-optimized Th2Te2S structure.

Computed properties:
* Fermi-level density of states: 4.34 states/eV/f.u.
* energy: -6.375 eV/atom
* crystal system: orthorhombic
* energy relative to the elements, uncorrected: -1.325 eV/atom

Unit cell a=4.2845 b=17.5872 c=8.1788 alpha=90.00 beta=90.00 gamma=90.00
Space group Cmc2_1 (No. 36)
Inequivalent atoms, fractional coordinates:
Th 0.0000 0.0524 0.0000
Th 0.0000 0.3129 0.9187
Te 0.0000 0.3082 0.5312
Te 0.0000 0.4422 0.1909
S 0.0000 0.0920 0.3381

VASP calculation (GGA-PBE) on a geometry-optimized HfScCdOs structure.

Computed properties:
* energy of formation: -0.281 eV per atom
* Fermi-level density of states: 2.43 states/eV/f.u.
* energy: -7.389 eV/atom
* crystal system: cubic

Unit cell a=6.7084 b=6.7084 c=6.7084 alpha=90.00 beta=90.00 gamma=90.00
Space group F-43m (No. 216)
Inequivalent atoms, fractional coordinates:
Hf 0.0000 0.0000 0.0000
Sc 0.0000 0.0000 0.5000
Cd 0.2500 0.2500 0.7500
Os 0.2500 0.2500 0.2500

VASP calculation (GGA-PBE) on a geometry-optimized TbZn8Fe4 structure.

Computed properties:
* energy of formation: -0.076 eV per atom
* Fermi-level density of states: 11.51 states/eV/f.u.
* energy: -3.820 eV/atom
* crystal system: tetragonal

Unit cell a=8.7490 b=8.7490 c=4.9959 alpha=90.00 beta=90.00 gamma=90.00
Space group I4/mmm (No. 139)
Inequivalent atoms, fractional coordinates:
Tb 0.0000 0.0000 0.0000
Zn 0.0000 0.2265 0.5000
Zn 0.0000 0.3391 0.0000
Fe 0.2500 0.2500 0.2500